# 1
Compound: Ba3RhI3
Source: the Alexandria database
Functional: PBE
Structure: optimized geometry

Cell lengths 11.8098, 11.8098, 11.8098 Å; angles 109.47, 109.47, 109.47 degrees
With the nearest neighbours (Å) after each atom.
Positions (direct):
1 Ba 0.9841 0.2341 0.4682  2 Rh 3.20, 2 I 3.48
2 Ba 0.7659 0.0159 0.0318  2 Rh 3.20, 2 I 3.48
3 Ba 0.2500 0.2341 0.2659  2 Rh 3.20, 2 I 3.48
4 Ba 0.5318 0.2659 0.0159  2 Rh 3.20, 2 I 3.48
5 Ba 0.5159 0.0318 0.2659  2 Rh 3.20, 2 I 3.48
6 Ba 0.7341 0.2659 0.7500  2 Rh 3.20, 2 I 3.48
7 Ba 0.7659 0.7500 0.2341  2 Rh 3.20, 2 I 3.48
8 Ba 0.9841 0.7500 0.0159  2 Rh 3.20, 2 I 3.48
9 Ba 0.5159 0.4841 0.7500  2 Rh 3.20, 2 I 3.48
10 Ba 0.9682 0.4841 0.2341  2 Rh 3.20, 2 I 3.48
11 Ba 0.7341 0.4682 0.4841  2 Rh 3.20, 2 I 3.48
12 Ba 0.2500 0.0159 0.4841  2 Rh 3.20, 2 I 3.48
13 I 0.0080 0.5040 0.7540  4 Ba 3.48-3.64
14 I 0.0040 0.2500 0.9960  4 Ba 3.48-3.64
15 I 0.2540 0.5080 0.5040  4 Ba 3.48-3.64
16 I 0.4960 0.5040 0.2500  4 Ba 3.48-3.64
17 I 0.2460 0.9960 0.9920  4 Ba 3.48-3.64
18 I 0.4960 0.9920 0.7460  4 Ba 3.48-3.64
19 I 0.2460 0.2500 0.7540  4 Ba 3.48-3.64
20 I 0.4920 0.7460 0.9960  4 Ba 3.48-3.64
21 I 0.7500 0.7540 0.7460  4 Ba 3.48-3.64
22 I 0.0040 0.7540 0.5080  4 Ba 3.48-3.64
23 I 0.2540 0.7460 0.2500  4 Ba 3.48-3.64
24 I 0.7500 0.9960 0.5040  4 Ba 3.48-3.64
25 Rh 0.7500 0.5000 0.0000  6 Ba 3.20
26 Rh 0.7500 0.2500 0.2500  6 Ba 3.20
27 Rh 0.5000 0.2500 0.5000  6 Ba 3.20
28 Rh 0.0000 0.0000 0.2500  6 Ba 3.20

Values from the calculation:
total moment	0.02	μB/atom
uncorrected formation energy	-1202	meV/atom

# 2
Compound: Ca2LaNi
Source: the Alexandria database
Functional: PBE
Structure: optimized geometry

Cell lengths 10.0286, 10.0286, 7.5846 Å; angles 48.61, 48.61, 90.00 degrees
With the nearest neighbours (Å) after each atom.
Positions (direct):
1 Ni 0.2500 0.7500 0.5000  2 La 2.69, 4 Ca 2.89
2 Ni 0.5000 0.5000 0.0000  2 La 2.69, 4 Ca 2.89
3 La 0.7500 0.2500 0.5000  2 Ni 2.69
4 La 0.0000 0.0000 0.0000  2 Ni 2.69
5 Ca 0.2489 0.6250 0.2500  2 Ni 2.89
6 Ca 0.3750 0.4989 0.7500  2 Ni 2.89
7 Ca 0.8750 0.7511 0.7500  2 Ni 2.89
8 Ca 0.5011 0.1250 0.2500  2 Ni 2.89

Values from the calculation:
ΔE_f	0.102	eV per atom
total moment	0.00	μB/atom

# 3
Compound: BaPt2I
Source: the Alexandria database
Functional: PBE
Structure: optimized geometry

Cell lengths 5.2357, 5.2357, 5.2357 Å; angles 60.00, 60.00, 60.00 degrees
With the nearest neighbours (Å) after each atom.
Positions (direct):
1 Pt 0.2500 0.2500 0.2500  4 Ba 3.21, 4 I 3.21
2 Pt 0.7500 0.7500 0.7500  4 Ba 3.21, 4 I 3.21
3 Ba 0.5000 0.5000 0.5000  8 Pt 3.21
4 I 0.0000 0.0000 0.0000  8 Pt 3.21

Values from the calculation:
total moment	0.00	μB/atom
uncorrected formation energy	107	meV/atom

# 4
Compound: LiAcDy2Se4
Source: the Alexandria database
Functional: PBE
Structure: optimized geometry

Cell lengths 4.1306, 7.2181, 14.1487 Å; angles 90.00, 90.00, 106.63 degrees
With the nearest neighbours (Å) after each atom.
Positions (direct):
1 Se 0.2684 0.5368 0.1197  1 Li 2.50
2 Se 0.4512 0.9024 0.7500  2 Li 2.47
3 Se 0.2684 0.5368 0.3803  1 Li 2.50
4 Se 0.0000 0.0000 0.5000  4 Dy 2.86
5 Se 0.5488 0.0976 0.2500  2 Li 2.47
6 Se 0.7316 0.4632 0.6197  1 Li 2.50
7 Se 0.7316 0.4632 0.8803  1 Li 2.50
8 Se 0.0000 0.0000 0.0000  4 Dy 2.86
9 Li 0.8536 0.7072 0.7500  4 Se 2.47-2.50
10 Li 0.1464 0.2928 0.2500  4 Se 2.47-2.50
11 Dy 0.3697 0.7395 0.9435  6 Se 2.86-2.96
12 Dy 0.6303 0.2605 0.4435  6 Se 2.86-2.96
13 Dy 0.6303 0.2605 0.0565  6 Se 2.86-2.96
14 Dy 0.3697 0.7395 0.5565  6 Se 2.86-2.96
15 Ac 0.1209 0.2417 0.7500  6 Se 3.13-3.16
16 Ac 0.8791 0.7583 0.2500  6 Se 3.13-3.16

Values from the calculation:
total moment	0.00	μB/atom
uncorrected formation energy	-1688	meV/atom

# 5
Compound: Ac2CdS
Source: the Alexandria database
Functional: PBE
Structure: optimized geometry

Cell lengths 4.3735, 4.3735, 8.4563 Å; angles 75.01, 75.01, 60.00 degrees
With the nearest neighbours (Å) after each atom.
Positions (direct):
1 Cd 0.5000 0.5000 0.5000  6 Ac 3.41
2 S 0.0000 0.0000 0.0000  6 Ac 3.07
3 Ac 0.2612 0.2612 0.2164  3 S 3.07, 3 Cd 3.41
4 Ac 0.7388 0.7388 0.7836  3 S 3.07, 3 Cd 3.41

Values from the calculation:
total moment	0.00	μB/atom
uncorrected formation energy	-1025	meV/atom

# 6
Compound: Be2SbRh2
Source: the Alexandria database
Functional: PBE
Structure: optimized geometry

Cell lengths 3.2387, 3.2387, 6.9211 Å; angles 76.47, 76.47, 90.00 degrees
With the nearest neighbours (Å) after each atom.
Positions (direct):
1 Be 0.7500 0.2500 0.5000  4 Be 2.29, 4 Rh 2.39
2 Be 0.2500 0.7500 0.5000  4 Be 2.29, 4 Rh 2.39
3 Sb 0.0000 0.0000 0.0000  8 Rh 2.74
4 Rh 0.6151 0.6151 0.7697  4 Be 2.39
5 Rh 0.3849 0.3849 0.2303  4 Be 2.39

Values from the calculation:
total moment	0.00	μB/atom
uncorrected formation energy	-258	meV/atom

- Which value of total moment does entry 2 give?
  0.00 μB/atom

- Number 5 is which compound?
  Ac2CdS